VASP calculation (GGA-PBE) on an optimized crystal structure of Sm5Tl8Ag.

Energy of formation: -202 meV/atom

CIF file:
```
data_Sm5Tl8Ag
_cell_length_a 9.404
_cell_length_b 9.404
_cell_length_c 9.155
_cell_angle_alpha 90.00
_cell_angle_beta 90.00
_cell_angle_gamma 90.00
_space_group_name_H-M_alt 'I -4'
_space_group_IT_number 82
loop_
_space_group_symop_operation_xyz
'x,y,z'
'y,-x,-z'
'-x,-y,z'
'-y,x,-z'
'x+1/2,y+1/2,z+1/2'
'y+1/2,-x+1/2,-z+1/2'
'-x+1/2,-y+1/2,z+1/2'
'-y+1/2,x+1/2,-z+1/2'
loop_
_atom_site_label
_atom_site_fract_x
_atom_site_fract_y
_atom_site_fract_z
Sm1 0.000 0.000 0.000
Sm2 0.112 0.256 0.357
Tl1 0.075 0.186 0.700
Tl2 0.078 0.334 0.015
Ag1 0.000 0.500 0.750
```

VASP calculation (GGA-PBE) on an optimized crystal structure of Sm11Tl9Ag4.

Energy of formation: -336 meV/atom

CIF file:
```
data_Sm11Tl9Ag4
_cell_length_a 15.084
_cell_length_b 22.760
_cell_length_c 3.843
_cell_angle_alpha 90.00
_cell_angle_beta 90.00
_cell_angle_gamma 90.00
_space_group_name_H-M_alt 'C m m m'
_space_group_IT_number 65
_space_group_name_Hall '-C 2 2'
loop_
_atom_site_label
_atom_site_fract_x
_atom_site_fract_y
_atom_site_fract_z
Sm1 0.000 0.000 0.000
Sm2 0.000 0.164 0.000
Sm3 0.000 0.367 0.000
Sm4 0.202 0.500 0.000
Sm5 0.238 0.172 0.000
Tl1 0.000 0.500 0.500
Tl2 0.108 0.262 0.500
Tl3 0.140 0.074 0.500
Ag1 0.151 0.401 0.500
```

VASP calculation (GGA-PBE) on an optimized crystal structure of Sm3Tl3Ag2.

Energy of formation: -280 meV/atom

CIF file:
```
data_Sm3Tl3Ag2
_cell_length_a 4.595
_cell_length_b 4.972
_cell_length_c 18.161
_cell_angle_alpha 90.00
_cell_angle_beta 90.00
_cell_angle_gamma 90.00
_space_group_name_H-M_alt 'I m m m'
_space_group_IT_number 71
_space_group_name_Hall '-I 2 2'
loop_
_atom_site_label
_atom_site_fract_x
_atom_site_fract_y
_atom_site_fract_z
Sm1 0.000 0.000 0.000
Sm2 0.000 0.500 0.142
Tl1 0.000 0.000 0.500
Tl2 0.000 0.500 0.361
Ag1 0.000 0.000 0.246
```

VASP calculation (GGA-PBE) on an optimized crystal structure of Sm6TlAg6.

Energy of formation: -160 meV/atom

CIF file:
```
data_Sm6TlAg6
_cell_length_a 5.9487
_cell_length_b 5.9487
_cell_length_c 10.9557
_cell_angle_alpha 90.00
_cell_angle_beta 90.00
_cell_angle_gamma 120.00
_space_group_name_H-M_alt 'P 6/m m m'
_space_group_IT_number 191
_space_group_name_Hall '-P 6 2'
loop_
_atom_site_label
_atom_site_fract_x
_atom_site_fract_y
_atom_site_fract_z
Sm1 0.0000 0.0000 0.1662
Sm2 0.3333 0.6667 0.0000
Sm3 0.3333 0.6667 0.5000
Tl1 0.0000 0.0000 0.5000
Ag1 0.0000 0.5000 0.2575
```

VASP calculation (GGA-PBE) on an optimized crystal structure of Sm12Tl3Ag.

Energy of formation: -146 meV/atom

CIF file:
```
data_Sm12Tl3Ag
_cell_length_a 4.938
_cell_length_b 4.938
_cell_length_c 19.536
_cell_angle_alpha 90.00
_cell_angle_beta 90.00
_cell_angle_gamma 90.00
_space_group_name_H-M_alt 'P 4/m m m'
_space_group_IT_number 123
_space_group_name_Hall '-P 4 2'
loop_
_atom_site_label
_atom_site_fract_x
_atom_site_fract_y
_atom_site_fract_z
Sm1 0.000 0.000 0.000
Sm2 0.000 0.000 0.245
Sm3 0.000 0.000 0.500
Sm4 0.000 0.500 0.121
Sm5 0.000 0.500 0.373
Tl1 0.500 0.500 0.248
Tl2 0.500 0.500 0.500
Ag1 0.500 0.500 0.000
```

VASP calculation (GGA-PBE) on an optimized crystal structure of SmTlAg2.

Energy of formation: -133 meV/atom

CIF file:
```
data_SmTlAg2
_cell_length_a 3.833
_cell_length_b 3.833
_cell_length_c 6.639
_cell_angle_alpha 90.00
_cell_angle_beta 90.00
_cell_angle_gamma 90.00
_space_group_name_H-M_alt 'P 4/m m m'
_space_group_IT_number 123
_space_group_name_Hall '-P 4 2'
loop_
_atom_site_label
_atom_site_fract_x
_atom_site_fract_y
_atom_site_fract_z
Sm1 0.000 0.000 0.000
Tl1 0.000 0.000 0.500
Ag1 0.500 0.500 0.243
```

VASP calculation (GGA-PBE) on an optimized crystal structure of Sm3TlAg2.

Energy of formation: -307 meV/atom

CIF file:
```
data_Sm3TlAg2
_cell_length_a 5.3244
_cell_length_b 5.3244
_cell_length_c 13.0692
_cell_angle_alpha 90.00
_cell_angle_beta 90.00
_cell_angle_gamma 120.00
_space_group_name_H-M_alt 'P -3 m 1'
_space_group_IT_number 164
_space_group_name_Hall '-P 3 2"'
loop_
_atom_site_label
_atom_site_fract_x
_atom_site_fract_y
_atom_site_fract_z
Sm1 0.0000 0.0000 0.2420
Sm2 0.3333 0.6667 0.4166
Sm3 0.3333 0.6667 0.9232
Tl1 0.3333 0.6667 0.6696
Ag1 0.0000 0.0000 0.0000
Ag2 0.0000 0.0000 0.5000
Ag3 0.3333 0.6667 0.1682
```

VASP calculation (GGA-PBE) on an optimized crystal structure of Sm3TlAg5.

Energy of formation: -227 meV/atom

CIF file:
```
data_Sm3TlAg5
_cell_length_a 8.9084
_cell_length_b 8.9084
_cell_length_c 6.2897
_cell_angle_alpha 90.00
_cell_angle_beta 90.00
_cell_angle_gamma 120.00
_space_group_name_H-M_alt 'P 63/m c m'
_space_group_IT_number 193
_space_group_name_Hall '-P 6c 2'
loop_
_atom_site_label
_atom_site_fract_x
_atom_site_fract_y
_atom_site_fract_z
Sm1 0.0000 0.3387 0.2500
Tl1 0.0000 0.0000 0.0000
Ag1 0.0000 0.3316 0.7500
Ag2 0.3333 0.6667 0.0000
```

VASP calculation (GGA-PBE) on an optimized crystal structure of Sm2Tl2Ag.

Energy of formation: -216 meV/atom

CIF file:
```
data_Sm2Tl2Ag
_cell_length_a 4.306
_cell_length_b 6.839
_cell_length_c 9.463
_cell_angle_alpha 90.00
_cell_angle_beta 90.00
_cell_angle_gamma 90.00
_space_group_name_H-M_alt 'I m m m'
_space_group_IT_number 71
_space_group_name_Hall '-I 2 2'
loop_
_atom_site_label
_atom_site_fract_x
_atom_site_fract_y
_atom_site_fract_z
Sm1 0.000 0.000 0.220
Tl1 0.000 0.277 0.500
Ag1 0.000 0.500 0.000
```

VASP calculation (GGA-PBE) on an optimized crystal structure of Sm4TlAg2.

Energy of formation: -163 meV/atom

CIF file:
```
data_Sm4TlAg2
_cell_length_a 5.2679
_cell_length_b 5.2679
_cell_length_c 25.1262
_cell_angle_alpha 90.00
_cell_angle_beta 90.00
_cell_angle_gamma 120.00
_space_group_name_H-M_alt 'R -3 m'
_space_group_IT_number 166
_space_group_name_Hall '-R 3 2"'
loop_
_atom_site_label
_atom_site_fract_x
_atom_site_fract_y
_atom_site_fract_z
Sm1 0.0000 0.0000 0.1149
Sm2 0.0000 0.0000 0.3691
Tl1 0.0000 0.0000 0.5000
Ag1 0.0000 0.0000 0.2441
```

VASP calculation (GGA-PBE) on an optimized crystal structure of Sm8Tl5Ag.

Energy of formation: -241 meV/atom

CIF file:
```
data_Sm8Tl5Ag
_cell_length_a 9.456
_cell_length_b 9.456
_cell_length_c 9.514
_cell_angle_alpha 90.00
_cell_angle_beta 90.00
_cell_angle_gamma 90.00
_space_group_name_H-M_alt 'I -4'
_space_group_IT_number 82
loop_
_space_group_symop_operation_xyz
'x,y,z'
'y,-x,-z'
'-x,-y,z'
'-y,x,-z'
'x+1/2,y+1/2,z+1/2'
'y+1/2,-x+1/2,-z+1/2'
'-x+1/2,-y+1/2,z+1/2'
'-y+1/2,x+1/2,-z+1/2'
loop_
_atom_site_label
_atom_site_fract_x
_atom_site_fract_y
_atom_site_fract_z
Sm1 0.071 0.182 0.201
Sm2 0.076 0.323 0.553
Tl1 0.000 0.000 0.500
Tl2 0.124 0.249 0.877
Ag1 0.000 0.500 0.250
```

VASP calculation (GGA-PBE) on an optimized crystal structure of Sm4TlAg3.

Energy of formation: -262 meV/atom

CIF file:
```
data_Sm4TlAg3
_cell_length_a 3.783
_cell_length_b 4.918
_cell_length_c 11.652
_cell_angle_alpha 90.00
_cell_angle_beta 90.00
_cell_angle_gamma 90.00
_space_group_name_H-M_alt 'P m m 2'
_space_group_IT_number 25
loop_
_space_group_symop_operation_xyz
'x,y,z'
'-x,-y,z'
'-x,y,z'
'x,-y,z'
loop_
_atom_site_label
_atom_site_fract_x
_atom_site_fract_y
_atom_site_fract_z
Sm1 0.000 0.000 0.000
Sm2 0.000 0.500 0.280
Sm3 0.500 0.000 0.483
Sm4 0.500 0.500 0.792
Tl1 0.000 0.000 0.719
Ag1 0.000 0.500 0.555
Ag2 0.500 0.000 0.214
Ag3 0.500 0.500 0.065
```

VASP calculation (GGA-PBE) on an optimized crystal structure of Sm4Tl2Ag.

Energy of formation: -155 meV/atom

CIF file:
```
data_Sm4Tl2Ag
_cell_length_a 7.229
_cell_length_b 6.738
_cell_length_c 9.219
_cell_angle_alpha 90.00
_cell_angle_beta 109.52
_cell_angle_gamma 90.00
_space_group_name_H-M_alt 'P 1 21/m 1'
_space_group_IT_number 11
loop_
_space_group_symop_operation_xyz
'x,y,z'
'-x,-y,-z'
'-x,y+1/2,-z'
'x,-y+1/2,z'
loop_
_atom_site_label
_atom_site_fract_x
_atom_site_fract_y
_atom_site_fract_z
Sm1 0.087 0.250 0.051
Sm2 0.174 0.009 0.725
Sm3 0.328 0.750 0.350
Tl1 0.213 0.250 0.434
Tl2 0.433 0.750 0.034
Ag1 0.493 0.250 0.281
```

VASP calculation (GGA-PBE) on an optimized crystal structure of Sm4TlAg.

Energy of formation: -190 meV/atom

CIF file:
```
data_Sm4TlAg
_cell_length_a 3.714
_cell_length_b 3.714
_cell_length_c 12.984
_cell_angle_alpha 90.00
_cell_angle_beta 90.00
_cell_angle_gamma 90.00
_space_group_name_H-M_alt 'P 4/m m m'
_space_group_IT_number 123
_space_group_name_Hall '-P 4 2'
loop_
_atom_site_label
_atom_site_fract_x
_atom_site_fract_y
_atom_site_fract_z
Sm1 0.000 0.000 0.144
Sm2 0.500 0.500 0.339
Tl1 0.000 0.000 0.500
Ag1 0.500 0.500 0.000
```

VASP calculation (GGA-PBE) on an optimized crystal structure of Sm4Tl2Ag.

Energy of formation: -202 meV/atom

CIF file:
```
data_Sm4Tl2Ag
_cell_length_a 5.3463
_cell_length_b 5.3463
_cell_length_c 25.9960
_cell_angle_alpha 90.00
_cell_angle_beta 90.00
_cell_angle_gamma 120.00
_space_group_name_H-M_alt 'R -3 m'
_space_group_IT_number 166
_space_group_name_Hall '-R 3 2"'
loop_
_atom_site_label
_atom_site_fract_x
_atom_site_fract_y
_atom_site_fract_z
Sm1 0.0000 0.0000 0.1240
Sm2 0.0000 0.0000 0.3747
Tl1 0.0000 0.0000 0.2514
Ag1 0.0000 0.0000 0.5000
```

VASP calculation (GGA-PBE) on an optimized crystal structure of Sm6TlAg5.

Energy of formation: -291 meV/atom

CIF file:
```
data_Sm6TlAg5
_cell_length_a 5.265
_cell_length_b 15.790
_cell_length_c 7.548
_cell_angle_alpha 90.00
_cell_angle_beta 90.00
_cell_angle_gamma 90.00
_space_group_name_H-M_alt 'C m m m'
_space_group_IT_number 65
_space_group_name_Hall '-C 2 2'
loop_
_atom_site_label
_atom_site_fract_x
_atom_site_fract_y
_atom_site_fract_z
Sm1 0.000 0.000 0.241
Sm2 0.000 0.330 0.247
Tl1 0.000 0.500 0.500
Ag1 0.000 0.163 0.500
Ag2 0.000 0.166 0.000
Ag3 0.000 0.500 0.000
```

VASP calculation (GGA-PBE) on an optimized crystal structure of Sm4Tl5Ag.

Energy of formation: -294 meV/atom

CIF file:
```
data_Sm4Tl5Ag
_cell_length_a 17.817
_cell_length_b 5.133
_cell_length_c 6.576
_cell_angle_alpha 90.00
_cell_angle_beta 111.27
_cell_angle_gamma 90.00
_space_group_name_H-M_alt 'C 1 2/m 1'
_space_group_IT_number 12
loop_
_space_group_symop_operation_xyz
'x,y,z'
'-x,-y,-z'
'-x,y,-z'
'x,-y,z'
'x+1/2,y+1/2,z'
'-x+1/2,-y+1/2,-z'
'-x+1/2,y+1/2,-z'
'x+1/2,-y+1/2,z'
loop_
_atom_site_label
_atom_site_fract_x
_atom_site_fract_y
_atom_site_fract_z
Sm1 0.086 0.000 0.342
Sm2 0.196 0.500 0.109
Tl1 0.000 0.500 0.500
Tl2 0.105 0.000 0.854
Tl3 0.204 0.500 0.610
Ag1 0.000 0.500 0.000
```

VASP calculation (GGA-PBE) on an optimized crystal structure of Sm4TlAg.

Energy of formation: -31 meV/atom

CIF file:
```
data_Sm4TlAg
_cell_length_a 5.597
_cell_length_b 21.089
_cell_length_c 6.573
_cell_angle_alpha 90.00
_cell_angle_beta 90.00
_cell_angle_gamma 90.00
_space_group_name_H-M_alt 'C m c 21'
_space_group_IT_number 36
loop_
_space_group_symop_operation_xyz
'x,y,z'
'-x,-y,z+1/2'
'-x,y,z'
'x,-y,z+1/2'
'x+1/2,y+1/2,z'
'-x+1/2,-y+1/2,z+1/2'
'-x+1/2,y+1/2,z'
'x+1/2,-y+1/2,z+1/2'
loop_
_atom_site_label
_atom_site_fract_x
_atom_site_fract_y
_atom_site_fract_z
Sm1 0.000 0.060 0.000
Sm2 0.000 0.203 0.266
Sm3 0.000 0.216 0.784
Sm4 0.000 0.378 0.042
Tl1 0.000 0.352 0.530
Ag1 0.000 0.080 0.513
```

VASP calculation (GGA-PBE) on an optimized crystal structure of Sm12Tl6Ag.

Energy of formation: -147 meV/atom

CIF file:
```
data_Sm12Tl6Ag
_cell_length_a 11.7765
_cell_length_b 11.7765
_cell_length_c 14.1899
_cell_angle_alpha 90.00
_cell_angle_beta 90.00
_cell_angle_gamma 120.00
_space_group_name_H-M_alt 'R -3'
_space_group_IT_number 148
_space_group_name_Hall '-R 3'
loop_
_atom_site_label
_atom_site_fract_x
_atom_site_fract_y
_atom_site_fract_z
Sm1 0.0567 0.8425 0.4068
Sm2 0.0671 0.1871 0.8227
Tl1 0.0223 0.4331 0.7123
Ag1 0.0000 0.0000 0.0000
```

VASP calculation (GGA-PBE) on an optimized crystal structure of Sm4TlAg2.

Energy of formation: -45 meV/atom

CIF file:
```
data_Sm4TlAg2
_cell_length_a 5.0743
_cell_length_b 5.0743
_cell_length_c 29.0874
_cell_angle_alpha 90.00
_cell_angle_beta 90.00
_cell_angle_gamma 120.00
_space_group_name_H-M_alt 'R -3 m'
_space_group_IT_number 166
_space_group_name_Hall '-R 3 2"'
loop_
_atom_site_label
_atom_site_fract_x
_atom_site_fract_y
_atom_site_fract_z
Sm1 0.0000 0.0000 0.1202
Sm2 0.0000 0.0000 0.2953
Tl1 0.0000 0.0000 0.5000
Ag1 0.0000 0.0000 0.3992
```

VASP calculation (GGA-PBE) on an optimized crystal structure of SmTlAg2.

Energy of formation: -242 meV/atom

CIF file:
```
data_SmTlAg2
_cell_length_a 7.145
_cell_length_b 7.145
_cell_length_c 7.145
_cell_angle_alpha 90.00
_cell_angle_beta 90.00
_cell_angle_gamma 90.00
_space_group_name_H-M_alt 'F m -3 m'
_space_group_IT_number 225
_space_group_name_Hall '-F 4 2 3'
loop_
_atom_site_label
_atom_site_fract_x
_atom_site_fract_y
_atom_site_fract_z
Sm1 0.000 0.000 0.000
Tl1 0.000 0.000 0.500
Ag1 0.250 0.250 0.250
```